SCAN Li5SbS4, single point on PBEsol structure; space-group type = No. 71; total moment = 0.00 Bohr magnetons per cell; E_form (uncorrected) = -1145 meV per atom; energy relative to the lowest polymorph listed for this composition = 0.82 kcal/mol of atoms
1.0
-1.933 3.532 6.628
1.933 -3.532 6.628
1.933 3.532 -6.628
Li Sb S
5 1 4
Direct
0.000 0.000 0.000
0.112 0.322 0.790
0.468 0.678 0.790
0.532 0.322 0.210
0.888 0.678 0.210
0.500 0.000 0.500
0.229 0.500 0.729
0.289 0.789 0.500
0.711 0.211 0.500
0.771 0.500 0.271

=====

SCAN Li9Sb3S, single point on PBEsol structure; space-group type = No. 14; total moment = 0.00 Bohr magnetons per cell; E_form (uncorrected) = -752 meV per atom
1.0
7.417 0.000 0.000
0.000 9.368 0.000
-5.050 0.000 13.675
Li Sb S
36 12 4
Direct
0.005 0.176 0.001
0.005 0.324 0.501
0.034 0.031 0.693
0.034 0.469 0.193
0.150 0.713 0.347
0.150 0.787 0.847
0.171 0.006 0.169
0.171 0.494 0.669
0.177 0.221 0.331
0.177 0.279 0.831
0.226 0.037 0.552
0.226 0.463 0.052
0.423 0.749 0.047
0.423 0.751 0.547
0.429 0.088 0.757
0.429 0.412 0.257
0.461 0.193 0.125
0.461 0.307 0.625
0.539 0.693 0.375
0.539 0.807 0.875
0.571 0.588 0.743
0.571 0.912 0.243
0.577 0.249 0.453
0.577 0.251 0.953
0.774 0.537 0.948
0.774 0.963 0.448
0.823 0.721 0.169
0.823 0.779 0.669
0.829 0.506 0.331
0.829 0.994 0.831
0.850 0.213 0.153
0.850 0.287 0.653
0.966 0.531 0.807
0.966 0.969 0.307
0.995 0.676 0.499
0.995 0.824 0.999
0.218 0.715 0.174
0.218 0.785 0.674
0.293 0.037 0.943
0.293 0.463 0.443
0.378 0.545 0.897
0.378 0.955 0.397
0.622 0.045 0.603
0.622 0.455 0.103
0.707 0.537 0.557
0.707 0.963 0.057
0.782 0.215 0.326
0.782 0.285 0.826
0.173 0.240 0.661
0.173 0.260 0.161
0.827 0.740 0.839
0.827 0.760 0.339

=====

SCAN Li5SbS4, single point on PBEsol structure; space-group type = No. 61; total moment = 0.00 Bohr magnetons per cell; E_form (uncorrected) = -1144 meV per atom; Fermi-level density of states = 0.0 states/eV/f.u.; energy relative to the lowest polymorph listed for this composition = 0.84 kcal/mol of atoms
1.0
9.159 0.000 0.000
0.000 12.370 0.000
0.000 0.000 12.568
Li Sb S
40 8 32
Direct
0.011 0.184 0.173
0.011 0.316 0.673
0.121 0.100 0.624
0.121 0.400 0.124
0.163 0.623 0.121
0.163 0.877 0.621
0.178 0.147 0.403
0.178 0.353 0.903
0.180 0.602 0.876
0.180 0.898 0.376
0.320 0.102 0.876
0.320 0.398 0.376
0.322 0.647 0.403
0.322 0.853 0.903
0.337 0.123 0.121
0.337 0.377 0.621
0.379 0.600 0.624
0.379 0.900 0.124
0.489 0.684 0.173
0.489 0.816 0.673
0.511 0.184 0.327
0.511 0.316 0.827
0.621 0.100 0.876
0.621 0.400 0.376
0.663 0.623 0.379
0.663 0.877 0.879
0.678 0.147 0.097
0.678 0.353 0.597
0.680 0.602 0.624
0.680 0.898 0.124
0.820 0.102 0.624
0.820 0.398 0.124
0.822 0.647 0.097
0.822 0.853 0.597
0.837 0.123 0.379
0.837 0.377 0.879
0.879 0.600 0.876
0.879 0.900 0.376
0.989 0.684 0.327
0.989 0.816 0.827
0.034 0.616 0.626
0.034 0.884 0.126
0.466 0.116 0.626
0.466 0.384 0.126
0.534 0.616 0.874
0.534 0.884 0.374
0.966 0.116 0.874
0.966 0.384 0.374
0.025 0.716 0.986
0.025 0.784 0.486
0.033 0.029 0.285
0.033 0.471 0.785
0.201 0.510 0.515
0.201 0.990 0.015
0.231 0.723 0.730
0.231 0.777 0.230
0.269 0.223 0.730
0.269 0.277 0.230
0.299 0.010 0.515
0.299 0.490 0.015
0.467 0.529 0.285
0.467 0.971 0.785
0.475 0.216 0.986
0.475 0.284 0.486
0.525 0.716 0.514
0.525 0.784 0.014
0.533 0.029 0.215
0.533 0.471 0.715
0.701 0.510 0.985
0.701 0.990 0.485
0.731 0.723 0.770
0.731 0.777 0.270
0.769 0.223 0.770
0.769 0.277 0.270
0.799 0.010 0.985
0.799 0.490 0.485
0.967 0.529 0.215
0.967 0.971 0.715
0.975 0.216 0.514
0.975 0.284 0.014

=====

SCAN Li7Sb2S2, single point on PBEsol structure; space-group type = No. 62; total moment = 0.00 Bohr magnetons per cell; E_form (uncorrected) = -966 meV per atom; Fermi-level density of states = 1.6 states/eV/f.u.; energy relative to the lowest polymorph listed for this composition = 0.54 kcal/mol of atoms
1.0
12.939 0.000 0.000
0.000 8.628 0.000
0.000 0.000 7.420
Li Sb S
28 8 8
Direct
0.045 0.008 0.171
0.045 0.492 0.171
0.086 0.750 0.757
0.113 0.250 0.816
0.183 0.750 0.054
0.206 0.526 0.583
0.206 0.974 0.583
0.294 0.026 0.083
0.294 0.474 0.083
0.317 0.250 0.554
0.387 0.750 0.316
0.414 0.250 0.257
0.455 0.508 0.671
0.455 0.992 0.671
0.545 0.008 0.329
0.545 0.492 0.329
0.586 0.750 0.743
0.613 0.250 0.684
0.683 0.750 0.446
0.706 0.526 0.917
0.706 0.974 0.917
0.794 0.026 0.417
0.794 0.474 0.417
0.817 0.250 0.946
0.887 0.750 0.184
0.914 0.250 0.243
0.955 0.508 0.829
0.955 0.992 0.829
0.087 0.750 0.394
0.102 0.250 0.427
0.398 0.750 0.927
0.413 0.250 0.894
0.587 0.750 0.106
0.602 0.250 0.073
0.898 0.750 0.573
0.913 0.250 0.606
0.140 0.517 0.897
0.140 0.983 0.897
0.360 0.017 0.397
0.360 0.483 0.397
0.640 0.517 0.603
0.640 0.983 0.603
0.860 0.017 0.103
0.860 0.483 0.103

=====

SCAN LiSb2S, single point on PBEsol structure; space-group type = No. 122; total moment = 0.00 Bohr magnetons per cell; E_form (uncorrected) = 223 meV per atom; Fermi-level density of states = 3.4 states/eV/f.u.
1.0
6.046 0.000 0.000
0.000 6.046 0.000
0.000 0.000 12.051
Li Sb S
4 8 4
Direct
0.000 0.000 0.000
0.000 0.500 0.250
0.500 0.000 0.750
0.500 0.500 0.500
0.242 0.250 0.125
0.250 0.742 0.375
0.250 0.758 0.875
0.258 0.250 0.625
0.742 0.750 0.625
0.750 0.242 0.875
0.750 0.258 0.375
0.758 0.750 0.125
0.000 0.000 0.500
0.000 0.500 0.750
0.500 0.000 0.250
0.500 0.500 0.000

=====

SCAN Li34Sb8S7, single point on PBEsol structure; space-group type = No. 87; total moment = 0.01 Bohr magnetons per cell; E_form (uncorrected) = -935 meV per atom; Fermi-level density of states = 11.8 states/eV/f.u.
1.0
-4.789 4.789 9.458
4.789 -4.789 9.458
4.789 4.789 -9.458
Li Sb S
34 8 7
Direct
0.052 0.901 0.701
0.065 0.171 0.718
0.070 0.570 0.500
0.099 0.799 0.150
0.141 0.721 0.862
0.171 0.453 0.106
0.201 0.351 0.299
0.229 0.346 0.720
0.250 0.750 0.500
0.279 0.141 0.420
0.346 0.065 0.894
0.346 0.626 0.116
0.351 0.052 0.150
0.374 0.490 0.720
0.430 0.930 0.500
0.453 0.346 0.282
0.490 0.771 0.116
0.510 0.229 0.884
0.547 0.654 0.718
0.570 0.070 0.500
0.626 0.510 0.280
0.649 0.948 0.850
0.654 0.374 0.884
0.654 0.935 0.106
0.721 0.859 0.580
0.750 0.250 0.500
0.771 0.654 0.280
0.799 0.649 0.701
0.829 0.547 0.894
0.859 0.279 0.138
0.901 0.201 0.850
0.930 0.430 0.500
0.935 0.829 0.282
0.948 0.099 0.299
0.032 0.468 0.812
0.219 0.032 0.564
0.344 0.781 0.812
0.468 0.656 0.436
0.532 0.344 0.564
0.656 0.219 0.188
0.781 0.968 0.436
0.968 0.532 0.188
0.107 0.318 0.425
0.183 0.183 0.000
0.318 0.893 0.211
0.500 0.500 0.000
0.682 0.107 0.789
0.817 0.817 0.000
0.893 0.682 0.575

=====

SCAN LiSbTe2S, single point on PBEsol structure; space-group type = No. 123; total moment = 0.65 Bohr magnetons per cell; E_form (uncorrected) = 253 meV per atom; Fermi-level density of states = 3.1 states/eV/f.u.
1.0
5.395 0.000 0.000
0.000 5.395 0.000
0.000 0.000 5.043
Li Sb Te S
1 1 2 1
Direct
0.000 0.000 0.000
0.500 0.500 0.000
0.000 0.500 0.500
0.500 0.000 0.500
0.500 0.500 0.500

=====

SCAN LiSb2TeS, single point on PBEsol structure; space-group type = No. 123; total moment = 0.00 Bohr magnetons per cell; E_form (uncorrected) = 537 meV per atom; Fermi-level density of states = 4.4 states/eV/f.u.
1.0
4.978 0.000 0.000
0.000 4.978 0.000
0.000 0.000 4.683
Li Sb Te S
1 2 1 1
Direct
0.000 0.000 0.000
0.000 0.500 0.000
0.500 0.000 0.000
0.000 0.000 0.500
0.500 0.500 0.500

=====

Question: E_form (uncorrected) of number 2 (Li9Sb3S)?
Answer: -752 meV per atom

=====

Question: The highest E_form (uncorrected) belongs to which entry?
Answer: LiSb2TeS

=====

What did the seventh record say?
SCAN LiSbTe2S, single point on PBEsol structure; space-group type = No. 123; total moment = 0.65 Bohr magnetons per cell; E_form (uncorrected) = 253 meV per atom; Fermi-level density of states = 3.1 states/eV/f.u.
1.0
5.395 0.000 0.000
0.000 5.395 0.000
0.000 0.000 5.043
Li Sb Te S
1 1 2 1
Direct
0.000 0.000 0.000
0.500 0.500 0.000
0.000 0.500 0.500
0.500 0.000 0.500
0.500 0.500 0.500